RbSc2AlOs: relaxed, PBE.

a = 5.337 Å, b = 5.337 Å, c = 4.649 Å
α = 90.00°, β = 90.00°, γ = 90.00°
Fractional coordinates of all 5 atoms:
Rb: 0.000 0.000 0.000
Sc: 0.000 0.500 0.500
Sc: 0.500 0.000 0.500
Al: 0.500 0.500 0.500
Os: 0.500 0.500 0.000

Results
- Total DFT energy (no corrections): -24.512 eV for the cell shown
- Crystal system: tetragonal
- Size of the total moment: 0.00 μB/cell
- Energy of formation: 79 kJ/mol of atoms
- SG: P4/mmm (123)